This record from the Alexandria database describes a relaxed CsHgPb crystal. The functional is PBE-GGA. Values from VASP.

Output
* magnetic moment: 0.00 μB per formula unit
* space group: I4mm (107)
* E: -5.10 eV/cell
* energy of formation: -0.079 eV per atom

Geometry as Quantum ESPRESSO input:
```
&SYSTEM
  ibrav = 0, nat = 3, ntyp = 3
/
ATOMIC_SPECIES
Pb 207.20 Pb.upf
Cs 132.91 Cs.upf
Hg 200.59 Hg.upf
ATOMIC_POSITIONS angstrom
Pb 0.000 0.000 4.025
Cs 0.000 0.000 0.072
Hg 2.090 2.090 2.881
CELL_PARAMETERS angstrom
4.181 0.000 0.000
0.000 4.181 0.000
-2.090 -2.090 6.978
```


This record from the Alexandria database describes a relaxed CsHgPb crystal. The functional is PBE-GGA. Values from VASP.

Output
* magnetic moment: 0.00 μB per formula unit
* space group: Pm (6)
* E: -10.73 eV/cell
* energy of formation: -0.167 eV per atom

Geometry as Quantum ESPRESSO input:
```
&SYSTEM
  ibrav = 0, nat = 6, ntyp = 3
/
ATOMIC_SPECIES
Pb 207.20 Pb.upf
Cs 132.91 Cs.upf
Hg 200.59 Hg.upf
ATOMIC_POSITIONS angstrom
Pb 5.238 -3.442 1.263
Pb 5.207 -6.554 0.787
Cs 1.389 -6.328 2.316
Cs 0.253 -3.216 -0.498
Hg -0.351 -2.928 3.307
Hg 4.628 -5.684 3.954
CELL_PARAMETERS angstrom
-2.632 -3.355 4.824
-1.503 -3.475 -3.236
8.214 -2.757 -0.853
```


This record from the Alexandria database describes a relaxed CsHgPb6 crystal. The functional is PBE-GGA. Values from VASP.

Output
* magnetic moment: 0.00 μB per formula unit
* space group: P4/mmm (123)
* E: -23.72 eV/cell
* energy of formation: -0.039 eV per atom

Geometry as Quantum ESPRESSO input:
```
&SYSTEM
  ibrav = 0, nat = 8, ntyp = 3
/
ATOMIC_SPECIES
Cs 132.91 Cs.upf
Hg 200.59 Hg.upf
Pb 207.20 Pb.upf
ATOMIC_POSITIONS angstrom
Cs 0.000 0.000 0.000
Hg 0.000 0.000 5.432
Pb 2.612 0.000 7.280
Pb 0.000 2.612 7.280
Pb 2.612 2.612 1.660
Pb 2.612 2.612 9.203
Pb 0.000 2.612 3.583
Pb 2.612 0.000 3.583
CELL_PARAMETERS angstrom
5.224 0.000 0.000
0.000 5.224 0.000
0.000 0.000 10.863
```


This record from the Alexandria database describes a relaxed Cs2Hg3Pb crystal. The functional is PBE-GGA. Values from VASP.

Output
* magnetic moment: 0.00 μB per formula unit
* space group: Cm (8)
* E: -7.75 eV/cell
* energy of formation: -0.238 eV per atom

Geometry as Quantum ESPRESSO input:
```
&SYSTEM
  ibrav = 0, nat = 6, ntyp = 3
/
ATOMIC_SPECIES
Cs 132.91 Cs.upf
Hg 200.59 Hg.upf
Pb 207.20 Pb.upf
ATOMIC_POSITIONS angstrom
Cs 3.232 0.926 6.397
Cs 4.123 5.815 4.269
Hg 5.633 3.997 7.721
Hg 4.655 2.071 2.998
Hg 2.644 4.862 7.801
Pb 1.751 2.808 2.876
CELL_PARAMETERS angstrom
5.029 0.000 2.106
2.289 7.121 1.591
0.028 -0.295 6.990
```


This record from the Alexandria database describes a relaxed CsHgPb crystal. The functional is PBE-GGA. Values from VASP.

Output
* magnetic moment: 0.00 μB per formula unit
* space group: Cm (8)
* E: -22.00 eV/cell
* energy of formation: -0.212 eV per atom

Geometry as Quantum ESPRESSO input:
```
&SYSTEM
  ibrav = 0, nat = 12, ntyp = 3
/
ATOMIC_SPECIES
Pb 207.20 Pb.upf
Cs 132.91 Cs.upf
Hg 200.59 Hg.upf
ATOMIC_POSITIONS angstrom
Pb 5.169 2.213 8.822
Pb -1.387 3.601 5.573
Pb -0.410 4.206 2.692
Pb 2.449 0.736 8.629
Cs 2.443 2.048 4.945
Cs -4.113 3.437 1.696
Cs 5.204 -1.226 6.207
Cs -1.352 0.162 2.959
Hg 8.009 -3.294 8.464
Hg 1.453 -1.905 5.216
Hg -2.153 6.806 2.309
Hg 0.706 3.336 8.246
CELL_PARAMETERS angstrom
-4.554 8.069 -0.016
-3.697 -2.081 2.688
9.414 -4.858 9.185
```


This record from the Alexandria database describes a relaxed CsHg3Pb crystal. The functional is PBE-GGA. Values from VASP.

Output
* magnetic moment: 2.66 μB per formula unit
* space group: Pm-3m (221)
* E: -3.16 eV/cell
* energy of formation: 0.462 eV per atom

Geometry as Quantum ESPRESSO input:
```
&SYSTEM
  ibrav = 0, nat = 5, ntyp = 3
/
ATOMIC_SPECIES
Pb 207.20 Pb.upf
Cs 132.91 Cs.upf
Hg 200.59 Hg.upf
ATOMIC_POSITIONS angstrom
Pb 3.416 3.416 3.416
Cs 0.000 0.000 0.000
Hg 0.000 3.416 0.000
Hg 0.000 0.000 3.416
Hg 3.416 0.000 0.000
CELL_PARAMETERS angstrom
6.833 0.000 0.000
0.000 6.833 0.000
0.000 0.000 6.833
```